*i*
VASP calculation (PBE+U) on an optimized crystal structure of Ba2LiNi2O6.

Lattice parameters (Å, degrees): 6.0523 6.0523 5.0676 76.99 76.99 56.50
Last column: nearest neighbours and their distance in Å.
Atoms (fractional coordinates):
O  0.8582  0.8582  0.8089  1 Li 1.84, 1 Ni 1.93
Ba  0.3388  0.3388  0.7578  5 O 2.59-2.89
Li  0.7950  0.7950  0.5040  3 O 1.84-1.96
O  0.3033  0.8557  0.7252  2 Ni 1.91-1.96
Ni  0.0146  0.0146  0.5139  6 O 1.87-1.93
O  0.1448  0.7208  0.3131  2 Ni 1.93-1.94, 1 Li 1.96
O  0.7208  0.1448  0.3131  2 Ni 1.93-1.94, 1 Li 1.96
Ba  0.6293  0.6293  0.1390  5 O 2.58-2.78, 1 Li 2.87
Ni  0.0047  0.0047  0.0149  6 O 1.94-2.11
O  0.1576  0.1576  0.2105  1 Ni 1.87
O  0.8557  0.3033  0.7252  2 Ni 1.91-1.96

* volume: 149.6 Å³/f.u.

---

*ii*
VASP calculation (PBE+U) on an optimized crystal structure of Ba2LiNi2O6.

Lattice parameters (Å, degrees): 6.0625 6.0625 5.0929 76.09 76.09 54.42
Last column: nearest neighbours and their distance in Å.
Atoms (fractional coordinates):
Ba  0.3092  0.3092  0.1946  7 O 2.65-2.94, 1 Li 2.89
O  0.6909  0.1612  0.7656  2 Ni 1.89-2.07, 1 Li 2.01
O  0.3091  0.8388  0.2344  2 Ni 1.89-2.07, 1 Li 2.01
Ni  0.0000  0.0000  0.5000  6 O 1.89-1.93
O  0.8388  0.3091  0.2344  2 Ni 1.89-2.07, 1 Li 2.01
O  0.8641  0.8641  0.3192  2 Ni 1.87-1.93
O  0.1612  0.6909  0.7656  2 Ni 1.89-2.07, 1 Li 2.01
Li  0.5000  0.5000  0.5000  4 O 2.01
Ba  0.6908  0.6908  0.8054  7 O 2.65-2.94, 1 Li 2.89
O  0.1359  0.1359  0.6808  2 Ni 1.87-1.93
Ni  0.0000  0.0000  0.0000  6 O 1.87-2.07

* volume: 146.6 Å³/f.u.

---

*iii*
VASP calculation (PBE+U) on an optimized crystal structure of Ba2LiNi2O6.

Lattice parameters (Å, degrees): 5.7966 5.7966 7.3608 90.00 90.00 120.00
Last column: nearest neighbours and their distance in Å.
Atoms (fractional coordinates):
Ni  0.0000  0.0000  0.0068  6 O 1.87-1.96
O  0.8479  0.6957  0.1743  2 Ni 1.88-1.96
O  0.7012  0.8506  0.8547  1 Ni 1.87, 1 Li 1.89
Li  0.0000  0.0000  0.6994  3 O 1.89
Ba  0.6667  0.3333  0.8956  9 O 2.74-2.92
Ba  0.3333  0.6667  0.1299  9 O 2.74-2.92
Ni  0.0000  0.0000  0.3226  3 O 1.88
O  0.8479  0.1521  0.1743  2 Ni 1.88-1.96
O  0.3043  0.1521  0.1743  2 Ni 1.88-1.96
O  0.1494  0.2988  0.8547  1 Ni 1.87, 1 Li 1.89
O  0.1494  0.8506  0.8547  1 Ni 1.87, 1 Li 1.89

* volume: 214.2 Å³/f.u.

---

*iv*
VASP calculation (PBE+U) on an optimized crystal structure of Ba2LiNi2O6.

Lattice parameters (Å, degrees): 5.7021 5.7021 5.1980 90.00 90.00 120.00
Last column: nearest neighbours and their distance in Å.
Atoms (fractional coordinates):
O  0.4812  0.5188  0.7764  2 Ni 1.89-2.02
Ba  0.6667  0.3333  0.1770  9 O 2.77-2.88
O  0.6388  0.8194  0.2469  1 Li 1.79, 1 Ni 1.96
O  0.1806  0.8194  0.2469  1 Li 1.79, 1 Ni 1.96
O  0.4812  0.9624  0.7764  2 Ni 1.89-2.02
O  0.0377  0.5188  0.7764  2 Ni 1.89-2.02
Ba  0.0000  0.0000  0.7107  2 Li 2.60, 6 O 2.88
Li  0.0000  0.0000  0.2103  3 O 1.79
Ni  0.3333  0.6667  0.5085  6 O 2.02-2.03
O  0.1806  0.3612  0.2469  1 Li 1.79, 1 Ni 1.96
Ni  0.3333  0.6667  0.0064  6 O 1.89-1.96

* volume: 146.4 Å³/f.u.

---

Which of them is the most stable, and which is the least stable? *ii* and *iii*, in that order.

---

*i*
VASP calculation (PBE+U) on an optimized crystal structure of Ba2LiNi2O4.

Lattice parameters (Å, degrees): 5.7348 5.7348 5.4254 73.88 73.88 59.56
Last column: nearest neighbours and their distance in Å.
Atoms (fractional coordinates):
Ba  0.3164  0.3164  0.6586  4 O 2.58-2.77
Ba  0.6836  0.6836  0.3414  4 O 2.58-2.77
Ni  0.0000  0.0000  0.5000  4 O 2.09
O  0.2987  0.8276  0.7369  2 Ni 1.91-2.09, 1 Li 2.03
Ni  0.0000  0.0000  0.0000  4 O 1.91
O  0.1724  0.7013  0.2631  2 Ni 1.91-2.09, 1 Li 2.03
Li  0.5000  0.5000  0.0000  4 O 2.03
O  0.8276  0.2987  0.7369  2 Ni 1.91-2.09, 1 Li 2.03
O  0.7013  0.1724  0.2631  2 Ni 1.91-2.09, 1 Li 2.03

* volume: 145.8 Å³/f.u.

---

*ii*
VASP calculation (PBE+U) on an optimized crystal structure of Ba2LiNi2O4.

Lattice parameters (Å, degrees): 5.4676 5.4676 5.0606 90.00 90.00 113.92
Last column: nearest neighbours and their distance in Å.
Atoms (fractional coordinates):
O  0.6513  0.8659  0.0000  1 Li 1.87
O  0.3107  0.1376  0.5000  2 Ni 2.03
Li  0.2771  0.7229  0.0000  2 O 1.87
Ba  0.3619  0.6381  0.5000  4 O 2.64-2.86, 2 Li 2.65
Ba  0.6468  0.3532  0.0000  4 O 2.67-2.79
O  0.8624  0.6893  0.5000  2 Ni 2.03
O  0.1341  0.3487  0.0000  1 Li 1.87
Ni  0.0028  0.9972  0.2402  4 O 2.03-2.14
Ni  0.0028  0.9972  0.7598  4 O 2.03-2.14

* volume: 138.3 Å³/f.u.

---

Which of them is the most stable, and which is the least stable? *i* and *ii*, in that order.